Entry 1:
! V2Ru3Rh2 (PBE, optimized geometry); values from VASP
! Space-group type: Cmmm (65)
! Volume, Å³ per atom: 14.16
! VASP energy, eV per atom: -8.73
! ρ, g/cm³: 10.2
&SYSTEM
  ibrav = 0, nat = 14, ntyp = 3
/
ATOMIC_SPECIES
V 50.94 V.upf
Ru 101.07 Ru.upf
Rh 102.91 Rh.upf
ATOMIC_POSITIONS angstrom
V 0.000 2.748 0.000
V 0.000 16.614 0.000
V 1.888 6.933 0.000
V 1.888 12.429 0.000
Ru 0.000 0.000 0.000
Ru 0.000 8.356 1.355
Ru 0.000 11.006 1.355
Ru 1.888 1.325 1.355
Ru 1.888 9.681 0.000
Ru 1.888 18.037 1.355
Rh 0.000 5.721 1.355
Rh 0.000 13.641 1.355
Rh 1.888 3.960 1.355
Rh 1.888 15.402 1.355
CELL_PARAMETERS angstrom
3.776 0.000 0.000
0.000 19.362 0.000
0.000 0.000 2.711

=====

Entry 2:
! MnReCl2 (PBE, optimized geometry); values from VASP
! Space-group type: Cmm2 (35)
! Volume, Å³ per atom: 19.29
! Energy above the most stable polymorph in this dataset, eV/f.u.: 0.954
! ρ, g/cm³: 6.7
&SYSTEM
  ibrav = 0, nat = 8, ntyp = 3
/
ATOMIC_SPECIES
Mn 54.94 Mn.upf
Re 186.21 Re.upf
Cl 35.45 Cl.upf
ATOMIC_POSITIONS angstrom
Mn 0.000 0.000 0.000
Mn 1.532 2.686 0.000
Re 0.000 2.686 2.076
Re 1.532 0.000 2.076
Cl 0.000 0.000 3.988
Cl 0.000 2.686 7.601
Cl 1.532 0.000 7.601
Cl 1.532 2.686 3.988
CELL_PARAMETERS angstrom
3.063 0.000 0.000
0.000 5.373 0.000
0.000 0.000 9.374

=====

Entry 3:
! Sb4AsIr (PBE, optimized geometry); values from VASP
! Space-group type: F-43m (216)
! Volume, Å³ per atom: 25.54
! VASP energy, eV per atom: -3.94
! ρ, g/cm³: 8.2
&SYSTEM
  ibrav = 0, nat = 6, ntyp = 3
/
ATOMIC_SPECIES
Sb 121.76 Sb.upf
As 74.92 As.upf
Ir 192.22 Ir.upf
ATOMIC_POSITIONS angstrom
Sb 1.061 1.061 1.061
Sb 3.186 3.186 1.061
Sb 3.186 1.061 3.186
Sb 1.061 3.186 3.186
As 6.371 6.371 6.371
Ir 4.247 4.247 4.247
CELL_PARAMETERS angstrom
0.000 4.247 4.247
4.247 0.000 4.247
4.247 4.247 0.000

=====

Entry 4:
! SrNb2Co (PBE, optimized geometry); values from VASP
! Space-group type: Fm-3m (225)
! Volume, Å³ per atom: 18.25
! Energy above the most stable polymorph in this dataset, eV/f.u.: 0.000
! ρ, g/cm³: 7.6
&SYSTEM
  ibrav = 0, nat = 16, ntyp = 3
/
ATOMIC_SPECIES
Sr 87.62 Sr.upf
Nb 92.91 Nb.upf
Co 58.93 Co.upf
ATOMIC_POSITIONS angstrom
Sr 0.000 0.000 0.000
Sr 0.000 3.317 3.317
Sr 3.317 0.000 3.317
Sr 3.317 3.317 0.000
Nb 1.659 1.659 1.659
Nb 1.659 1.659 4.976
Nb 1.659 4.976 1.659
Nb 1.659 4.976 4.976
Nb 4.976 1.659 1.659
Nb 4.976 1.659 4.976
Nb 4.976 4.976 1.659
Nb 4.976 4.976 4.976
Co 0.000 0.000 3.317
Co 0.000 3.317 0.000
Co 3.317 0.000 0.000
Co 3.317 3.317 3.317
CELL_PARAMETERS angstrom
6.634 0.000 0.000
0.000 6.634 0.000
0.000 0.000 6.634

=====

Entry 5:
! Cs3NbIr (PBE, optimized geometry); values from VASP
! Space-group type: Pm-3m (221)
! Volume, Å³ per atom: 49.06
! VASP energy, eV per atom: -2.69
! ρ, g/cm³: 4.6
&SYSTEM
  ibrav = 0, nat = 5, ntyp = 3
/
ATOMIC_SPECIES
Cs 132.91 Cs.upf
Nb 92.91 Nb.upf
Ir 192.22 Ir.upf
ATOMIC_POSITIONS angstrom
Cs 0.000 0.000 3.130
Cs 0.000 3.130 0.000
Cs 3.130 0.000 0.000
Nb 3.130 3.130 3.130
Ir 0.000 0.000 0.000
CELL_PARAMETERS angstrom
6.260 0.000 0.000
0.000 6.260 0.000
0.000 0.000 6.260

=====

Entry 6:
! LaYNi (PBE, optimized geometry); values from VASP
! Space-group type: F-43m (216)
! Volume, Å³ per atom: 27.40
! Energy above the most stable polymorph in this dataset, eV/f.u.: 0.420
! ρ, g/cm³: 5.8
&SYSTEM
  ibrav = 0, nat = 12, ntyp = 3
/
ATOMIC_SPECIES
La 138.91 La.upf
Y 88.91 Y.upf
Ni 58.69 Ni.upf
ATOMIC_POSITIONS angstrom
La 0.000 0.000 0.000
La 0.000 3.451 3.451
La 3.451 0.000 3.451
La 3.451 3.451 0.000
Y 0.000 0.000 3.451
Y 0.000 3.451 0.000
Y 3.451 0.000 0.000
Y 3.451 3.451 3.451
Ni 1.726 1.726 1.726
Ni 1.726 5.177 5.177
Ni 5.177 1.726 5.177
Ni 5.177 5.177 1.726
CELL_PARAMETERS angstrom
6.902 0.000 0.000
0.000 6.902 0.000
0.000 0.000 6.902

=====

Entry 7:
! CaHo2Er (PBE, optimized geometry); values from VASP
! Space-group type: C2/m (12)
! Volume, Å³ per atom: 32.93
! Energy above the most stable polymorph in this dataset, eV/f.u.: 0.248
! ρ, g/cm³: 6.8
&SYSTEM
  ibrav = 0, nat = 16, ntyp = 3
/
ATOMIC_SPECIES
Ca 40.08 Ca.upf
Ho 164.93 Ho.upf
Er 167.26 Er.upf
ATOMIC_POSITIONS angstrom
Ca -0.084 0.000 1.590
Ca 11.559 1.731 4.787
Ca 11.852 1.731 1.590
Ca 23.496 0.000 4.787
Ho 3.048 1.731 0.236
Ho 2.998 0.000 3.478
Ho 8.477 1.731 2.899
Ho 8.427 0.000 6.141
Ho 14.984 0.000 0.236
Ho 14.934 1.731 3.478
Ho 20.413 0.000 2.899
Ho 20.364 1.731 6.141
Er 5.816 0.000 1.581
Er 5.660 1.731 4.796
Er 17.752 1.731 1.581
Er 17.596 0.000 4.796
CELL_PARAMETERS angstrom
23.872 0.000 0.000
0.000 3.461 0.000
-0.461 0.000 6.377

=====

Entry 8:
! FeNiPd6 (PBE, optimized geometry); values from VASP
! Space-group type: C2/m (12)
! Volume, Å³ per atom: 16.47
! Energy above the most stable polymorph in this dataset, eV/f.u.: 2.068
! ρ, g/cm³: 9.5
&SYSTEM
  ibrav = 0, nat = 16, ntyp = 3
/
ATOMIC_SPECIES
Fe 55.84 Fe.upf
Ni 58.69 Ni.upf
Pd 106.42 Pd.upf
ATOMIC_POSITIONS angstrom
Fe 0.000 0.000 0.000
Fe 3.744 2.636 0.000
Ni -1.239 2.636 3.339
Ni 2.505 0.000 3.339
Pd 0.031 0.000 2.921
Pd -0.573 1.297 5.359
Pd -0.573 3.975 5.359
Pd 1.839 1.339 1.318
Pd 1.839 3.932 1.318
Pd 1.234 2.636 3.756
Pd 3.775 2.636 2.921
Pd 3.171 1.339 5.359
Pd 3.171 3.932 5.359
Pd 5.583 1.297 1.318
Pd 5.583 3.975 1.318
Pd 4.979 0.000 3.756
CELL_PARAMETERS angstrom
7.489 0.000 0.000
0.000 5.271 0.000
-2.479 0.000 6.677

=====

Entry 9:
! Na3SiTc (PBE, optimized geometry); values from VASP
! Space-group type: Pm-3m (221)
! Volume, Å³ per atom: 32.92
! Energy above the most stable polymorph in this dataset, eV/f.u.: 0.000
! ρ, g/cm³: 2.0
&SYSTEM
  ibrav = 0, nat = 5, ntyp = 3
/
ATOMIC_SPECIES
Na 22.99 Na.upf
Si 28.09 Si.upf
Tc 98.00 Tc.upf
ATOMIC_POSITIONS angstrom
Na 0.000 0.000 2.740
Na 0.000 2.740 0.000
Na 2.740 0.000 0.000
Si 0.000 0.000 0.000
Tc 2.740 2.740 2.740
CELL_PARAMETERS angstrom
5.480 0.000 0.000
0.000 5.480 0.000
0.000 0.000 5.480

=====

Entry 10:
! Mn5Ru (PBE, optimized geometry); values from VASP
! Space-group type: Cm (8)
! Volume, Å³ per atom: 11.44
! Energy above the most stable polymorph in this dataset, eV/f.u.: 0.258
! ρ, g/cm³: 9.1
&SYSTEM
  ibrav = 0, nat = 12, ntyp = 2
/
ATOMIC_SPECIES
Mn 54.94 Mn.upf
Ru 101.07 Ru.upf
ATOMIC_POSITIONS angstrom
Mn 0.000 0.000 0.000
Mn -0.458 0.000 3.587
Mn 0.952 1.283 1.987
Mn 0.546 1.283 5.421
Mn 2.018 0.000 3.908
Mn 4.633 1.283 0.000
Mn 4.175 1.283 3.587
Mn 5.585 0.000 1.987
Mn 5.179 0.000 5.421
Mn 6.651 1.283 3.908
Ru 3.112 0.000 1.609
Ru 7.745 1.283 1.609
CELL_PARAMETERS angstrom
9.266 0.000 0.000
0.000 2.566 0.000
-1.524 0.000 5.772

=====

Entry 11:
! GaHg2Sb (PBE, optimized geometry); values from VASP
! Space-group type: Fm-3m (225)
! Volume, Å³ per atom: 25.14
! Energy above the most stable polymorph in this dataset, eV/f.u.: 0.000
! ρ, g/cm³: 9.8
&SYSTEM
  ibrav = 0, nat = 16, ntyp = 3
/
ATOMIC_SPECIES
Ga 69.72 Ga.upf
Hg 200.59 Hg.upf
Sb 121.76 Sb.upf
ATOMIC_POSITIONS angstrom
Ga 0.000 0.000 0.000
Ga 0.000 3.691 3.691
Ga 3.691 0.000 3.691
Ga 3.691 3.691 0.000
Hg 1.845 1.845 1.845
Hg 1.845 1.845 5.536
Hg 1.845 5.536 1.845
Hg 1.845 5.536 5.536
Hg 5.536 1.845 1.845
Hg 5.536 1.845 5.536
Hg 5.536 5.536 1.845
Hg 5.536 5.536 5.536
Sb 0.000 0.000 3.691
Sb 0.000 3.691 0.000
Sb 3.691 0.000 0.000
Sb 3.691 3.691 3.691
CELL_PARAMETERS angstrom
7.382 0.000 0.000
0.000 7.382 0.000
0.000 0.000 7.382

=====

Entry 12:
! Tl3V2Br9 (PBE, optimized geometry); values from VASP
! Space-group type: R-3c (167)
! Volume, Å³ per atom: 31.76
! VASP energy, eV per atom: -3.73
! ρ, g/cm³: 5.4
&SYSTEM
  ibrav = 0, nat = 28, ntyp = 3
/
ATOMIC_SPECIES
Tl 204.38 Tl.upf
V 50.94 V.upf
Br 79.90 Br.upf
ATOMIC_POSITIONS angstrom
Tl -4.117 0.157 8.058
Tl -2.194 -3.487 11.281
Tl 1.922 -3.644 8.058
Tl -1.922 3.644 11.281
Tl 2.194 3.487 8.058
Tl 4.117 -0.157 11.281
V 0.000 0.000 3.253
V 0.000 0.000 6.417
V 0.000 0.000 12.923
V 0.000 0.000 16.087
Br -5.262 -1.825 10.997
Br -2.038 0.000 4.835
Br -1.051 -5.469 8.343
Br -1.051 -1.818 7.773
Br 1.019 -1.765 4.835
Br -4.211 3.645 8.343
Br -1.049 1.819 7.773
Br 1.019 1.765 4.835
Br -2.100 0.001 11.566
Br 2.100 -0.001 7.773
Br -1.019 -1.765 14.505
Br 1.049 -1.819 11.566
Br 4.211 -3.645 10.997
Br -1.019 1.765 14.505
Br 1.051 1.818 11.566
Br 1.051 5.469 10.997
Br 2.038 0.000 14.505
Br 5.262 1.825 8.343
CELL_PARAMETERS angstrom
6.311 3.644 6.446
-6.311 3.644 6.446
0.000 -7.287 6.446

=====

> Number 3 is which compound?

Sb4AsIr

=====

> ρ of number 6 (LaYNi)?

5.8 g/cm³

=====

> Among the records above, which one has the highest volume?

Cs3NbIr

=====

Copy entry 7 word for word.
! CaHo2Er (PBE, optimized geometry); values from VASP
! Space-group type: C2/m (12)
! Volume, Å³ per atom: 32.93
! Energy above the most stable polymorph in this dataset, eV/f.u.: 0.248
! ρ, g/cm³: 6.8
&SYSTEM
  ibrav = 0, nat = 16, ntyp = 3
/
ATOMIC_SPECIES
Ca 40.08 Ca.upf
Ho 164.93 Ho.upf
Er 167.26 Er.upf
ATOMIC_POSITIONS angstrom
Ca -0.084 0.000 1.590
Ca 11.559 1.731 4.787
Ca 11.852 1.731 1.590
Ca 23.496 0.000 4.787
Ho 3.048 1.731 0.236
Ho 2.998 0.000 3.478
Ho 8.477 1.731 2.899
Ho 8.427 0.000 6.141
Ho 14.984 0.000 0.236
Ho 14.934 1.731 3.478
Ho 20.413 0.000 2.899
Ho 20.364 1.731 6.141
Er 5.816 0.000 1.581
Er 5.660 1.731 4.796
Er 17.752 1.731 1.581
Er 17.596 0.000 4.796
CELL_PARAMETERS angstrom
23.872 0.000 0.000
0.000 3.461 0.000
-0.461 0.000 6.377